Compound: ErPaCo2
Source: Alexandria
Functional: PBE
Structure: optimized geometry

Cell lengths 3.640, 3.640, 7.120 Å; angles 75.19, 75.19, 60.00 degrees
Sites, in units of the cell vectors:
Co1 0.076 0.076 0.772
Co2 0.258 0.258 0.226
Er1 0.497 0.497 0.508
Pa1 0.669 0.669 0.994

Values from the calculation:
Calculated formation energy (eV/atom): -0.1932
Polymorph energy (0 for the lowest one) (meV per atom): 201
Fermi-level density of states (states/eV per cell): 1.90
Magnetic moment (μB per formula unit): 0.0


Compound: ErPaCo2
Source: Alexandria
Functional: PBE
Structure: optimized geometry

Cell lengths 3.266, 4.702, 4.702 Å; angles 90.00, 90.00, 90.00 degrees
Sites, in units of the cell vectors:
Co1 0.000 0.500 0.000
Er1 0.500 0.000 0.000
Co2 0.000 0.000 0.500
Pa1 0.500 0.500 0.500

Values from the calculation:
Calculated formation energy (eV/atom): -0.1860
Polymorph energy (0 for the lowest one) (meV per atom): 208
Fermi-level density of states (states/eV per cell): 4.58
Magnetic moment (μB per formula unit): 0.0


Compound: Er3Pa2Co3
Source: Alexandria
Functional: PBE
Structure: optimized geometry

Cell lengths 7.535, 6.407, 13.959 Å; angles 90.00, 90.00, 90.00 degrees
Sites, in units of the cell vectors:
Co1 0.916 0.784 0.443
Pa1 0.864 0.247 0.128
Er1 0.489 0.266 0.250
Pa2 0.636 0.747 0.372
Er2 0.266 0.000 0.418
Pa3 0.364 0.253 0.872
Er3 0.234 0.500 0.082
Co2 0.584 0.284 0.057
Co3 0.416 0.716 0.943
Er4 0.266 0.000 0.082
Co4 0.902 0.754 0.750
Pa4 0.364 0.253 0.628
Pa5 0.136 0.753 0.872
Er5 0.511 0.734 0.750
Er6 0.734 0.000 0.918
Co5 0.584 0.284 0.443
Co6 0.598 0.254 0.750
Pa6 0.864 0.247 0.372
Er7 0.234 0.500 0.418
Co7 0.084 0.216 0.557
Er8 0.734 0.000 0.582
Er9 0.011 0.766 0.250
Pa7 0.136 0.753 0.628
Er10 0.766 0.500 0.582
Co8 0.416 0.716 0.557
Co9 0.916 0.784 0.057
Pa8 0.636 0.747 0.128
Er11 0.989 0.234 0.750
Co10 0.098 0.246 0.250
Er12 0.766 0.500 0.918
Co11 0.402 0.746 0.250
Co12 0.084 0.216 0.943

Values from the calculation:
Calculated formation energy (eV/atom): -0.2478
Fermi-level density of states (states/eV per cell): 32.61
Magnetic moment (μB per formula unit): 0.0


Compound: ErPaCo2
Source: Alexandria
Functional: PBE
Structure: optimized geometry

Cell lengths 4.688, 4.688, 4.688 Å; angles 60.00, 60.00, 60.00 degrees
Sites, in units of the cell vectors:
Co1 0.750 0.750 0.750
Er1 0.500 0.500 0.500
Co2 0.250 0.250 0.250
Pa1 0.000 0.000 0.000

Values from the calculation:
Calculated formation energy (eV/atom): -0.1455
Polymorph energy (0 for the lowest one) (meV per atom): 249
Fermi-level density of states (states/eV per cell): 6.01
Magnetic moment (μB per formula unit): 0.0


Compound: ErPaCo2
Source: Alexandria
Functional: PBE
Structure: optimized geometry

Cell lengths 3.675, 6.430, 6.920 Å; angles 99.15, 105.40, 90.00 degrees
Sites, in units of the cell vectors:
Pa1 0.500 0.500 0.500
Co1 0.886 0.629 0.274
Co2 0.114 0.371 0.726
Co3 0.388 0.129 0.274
Co4 0.612 0.871 0.726
Er1 0.249 0.750 0.000
Er2 0.751 0.250 0.000
Pa2 0.000 0.000 0.500

Values from the calculation:
Calculated formation energy (eV/atom): -0.2255
Polymorph energy (0 for the lowest one) (meV per atom): 169
Fermi-level density of states (states/eV per cell): 4.80
Magnetic moment (μB per formula unit): 0.0


Compound: ErPaCo2
Source: Alexandria
Functional: PBE
Structure: optimized geometry

Cell lengths 4.287, 5.138, 7.122 Å; angles 109.37, 90.00, 90.00 degrees
Sites, in units of the cell vectors:
Er1 0.750 0.742 0.936
Co1 0.250 0.811 0.649
Pa1 0.250 0.303 0.591
Co2 0.750 0.189 0.351
Pa2 0.750 0.697 0.409
Er2 0.250 0.258 0.064
Co3 0.750 0.161 0.738
Co4 0.250 0.839 0.262

Values from the calculation:
Calculated formation energy (eV/atom): -0.3945
Polymorph energy (0 for the lowest one) (meV per atom): 0
Fermi-level density of states (states/eV per cell): 4.52
Magnetic moment (μB per formula unit): 0.0


Compound: Er2PaCo3
Source: Alexandria
Functional: PBE
Structure: optimized geometry

Cell lengths 3.746, 6.439, 19.343 Å; angles 90.00, 90.00, 90.00 degrees
Sites, in units of the cell vectors:
Er1 0.250 0.238 0.721
Co1 0.750 0.412 0.832
Co2 0.750 0.047 0.797
Pa1 0.750 0.606 0.927
Co3 0.250 0.088 0.332
Pa2 0.250 0.894 0.427
Co4 0.250 0.588 0.168
Co5 0.750 0.728 0.492
Co6 0.750 0.228 0.008
Co7 0.250 0.953 0.203
Er2 0.750 0.374 0.403
Pa3 0.250 0.394 0.073
Er3 0.250 0.126 0.903
Pa4 0.750 0.106 0.573
Er4 0.750 0.762 0.279
Er5 0.750 0.874 0.097
Er6 0.250 0.738 0.779
Er7 0.750 0.262 0.221
Co8 0.250 0.772 0.992
Co9 0.750 0.912 0.668
Co10 0.250 0.272 0.508
Co11 0.250 0.453 0.297
Co12 0.750 0.547 0.703
Er8 0.250 0.626 0.597

Values from the calculation:
Calculated formation energy (eV/atom): -0.2132
Polymorph energy (0 for the lowest one) (meV per atom): 20
Fermi-level density of states (states/eV per cell): 19.87
Magnetic moment (μB per formula unit): 0.0


Compound: ErPaCo2
Source: Alexandria
Functional: PBE
Structure: optimized geometry

Cell lengths 4.243, 4.243, 5.468 Å; angles 67.17, 67.17, 60.00 degrees
Sites, in units of the cell vectors:
Er1 0.000 0.000 0.000
Co1 0.210 0.210 0.371
Pa1 0.500 0.500 0.500
Co2 0.790 0.790 0.629

Values from the calculation:
Calculated formation energy (eV/atom): -0.3468
Polymorph energy (0 for the lowest one) (meV per atom): 48
Fermi-level density of states (states/eV per cell): 1.46
Magnetic moment (μB per formula unit): 0.0


Compound: Er2PaCo3
Source: Alexandria
Functional: PBE
Structure: optimized geometry

Cell lengths 4.984, 6.351, 7.485 Å; angles 90.02, 109.45, 90.00 degrees
Sites, in units of the cell vectors:
Er1 0.668 0.000 0.337
Co1 0.357 0.750 0.000
Co2 0.643 0.250 0.000
Pa1 0.866 0.750 0.000
Er2 0.331 0.500 0.663
Er3 0.669 0.500 0.337
Co3 0.155 0.250 0.316
Co4 0.845 0.750 0.684
Co5 0.161 0.750 0.316
Co6 0.839 0.250 0.684
Pa2 0.134 0.250 0.000
Er4 0.332 0.000 0.663

Values from the calculation:
Calculated formation energy (eV/atom): -0.2329
Polymorph energy (0 for the lowest one) (meV per atom): 0
Fermi-level density of states (states/eV per cell): 10.46
Magnetic moment (μB per formula unit): 0.0


Compound: Er2PaCo9
Source: Alexandria
Functional: PBE
Structure: optimized geometry

Cell lengths 4.898, 4.898, 8.668 Å; angles 73.59, 73.59, 60.00 degrees
Sites, in units of the cell vectors:
Co1 0.334 0.334 0.997
Co2 0.500 0.500 0.500
Co3 0.921 0.417 0.246
Er1 0.140 0.140 0.580
Co4 0.079 0.583 0.754
Co5 0.583 0.583 0.754
Pa1 0.000 0.000 0.000
Co6 0.417 0.417 0.246
Er2 0.860 0.860 0.420
Co7 0.583 0.079 0.754
Co8 0.417 0.921 0.246
Co9 0.666 0.666 0.003

Values from the calculation:
Calculated formation energy (eV/atom): -0.2195
Fermi-level density of states (states/eV per cell): 16.45
Magnetic moment (μB per formula unit): 8.8


Compound: Er2PaCo
Source: Alexandria
Functional: PBE
Structure: optimized geometry

Cell lengths 6.144, 6.692, 9.477 Å; angles 90.00, 90.00, 90.00 degrees
Sites, in units of the cell vectors:
Er1 0.668 0.822 0.568
Er2 0.168 0.678 0.432
Co1 0.514 0.139 0.750
Er3 0.332 0.178 0.068
Co2 0.014 0.361 0.250
Pa1 0.674 0.551 0.250
Pa2 0.826 0.051 0.250
Co3 0.986 0.639 0.750
Pa3 0.326 0.449 0.750
Er4 0.668 0.822 0.932
Co4 0.486 0.861 0.250
Pa4 0.174 0.949 0.750
Er5 0.332 0.178 0.432
Er6 0.832 0.322 0.568
Er7 0.168 0.678 0.068
Er8 0.832 0.322 0.932

Values from the calculation:
Calculated formation energy (eV/atom): -0.1825
Polymorph energy (0 for the lowest one) (meV per atom): 0
Fermi-level density of states (states/eV per cell): 24.91
Magnetic moment (μB per formula unit): 0.0


Compound: ErPaCoPd
Source: Alexandria
Functional: PBE
Structure: optimized geometry

Cell lengths 4.834, 4.834, 4.834 Å; angles 60.00, 60.00, 60.00 degrees
Sites, in units of the cell vectors:
Co1 0.500 0.500 0.500
Pa1 0.250 0.250 0.250
Pd1 0.000 0.000 0.000
Er1 0.750 0.750 0.750

Values from the calculation:
Calculated formation energy (eV/atom): -0.3189
Fermi-level density of states (states/eV per cell): 5.27
Magnetic moment (μB per formula unit): 0.0


- Among the records above, which one has the lowest Fermi-level density of states?
  number 8


- What is the formula in the twelfth record?
  ErPaCoPd


Copy entry 4 word for word.
Compound: ErPaCo2
Source: Alexandria
Functional: PBE
Structure: optimized geometry

Cell lengths 4.688, 4.688, 4.688 Å; angles 60.00, 60.00, 60.00 degrees
Sites, in units of the cell vectors:
Co1 0.750 0.750 0.750
Er1 0.500 0.500 0.500
Co2 0.250 0.250 0.250
Pa1 0.000 0.000 0.000

Values from the calculation:
Calculated formation energy (eV/atom): -0.1455
Polymorph energy (0 for the lowest one) (meV per atom): 249
Fermi-level density of states (states/eV per cell): 6.01
Magnetic moment (μB per formula unit): 0.0


- Which formula does entry 3 have?
  Er3Pa2Co3